# ErNiPtO4

A relaxed ErNiPtO4 crystal (GGA+U, Alexandria via LeMat-Bulk).

Cell: 6.386 6.680 8.492 Å, 90.00 90.00 90.00°
Space group Imma (No. 74)
Asymmetric unit:
1 Er 0.000 0.000 0.000 (multiplicity 4)
2 Ni 0.000 0.250 0.378 (multiplicity 4)
3 Pt 0.250 0.250 0.750 (multiplicity 4)
4 O 0.000 0.024 0.734 (multiplicity 8)
5 O 0.236 0.250 0.998 (multiplicity 8)

Output
**N(E_F)**: 10.47 states/eV per cell
**Calculated total energy**: -174.682 eV per cell